(1)
Here is an optimized crystal structure of Zr2CoGe from the Alexandria database. Energies are from PBE.

Crystal system: monoclinic
ΔH_f (0 K): -233 kJ/mol of formula units
Total moment: 0.000 μB per formula unit
Fermi-level density of states: 1.086 states/eV/atom
Volume: 18.00 A^3/atom
Final energy: -7.81 eV/atom

a b c (Å): 5.457 3.785 7.466
angles (deg): 90.00 110.97 90.00
Space group P2_1/m (No. 11)
Symmetry-distinct sites (fractional):
Zr1 0.207 0.250 0.443 (multiplicity 2)
Zr2 0.219 0.250 0.908 (multiplicity 2)
Co1 0.345 0.750 0.707 (multiplicity 2)
Ge1 0.336 0.750 0.208 (multiplicity 2)

=====

(2)
Here is an optimized crystal structure of ZrCo4Ge from the Alexandria database. Energies are from PBE.

Crystal system: orthorhombic
ΔH_f (0 K): -86 kJ/mol of formula units
Total moment: 2.693 μB per formula unit
Fermi-level density of states: 1.142 states/eV/atom
Volume: 13.31 A^3/atom
Final energy: -7.08 eV/atom
Energy above the lowest structure with this stoichiometry: 28 meV per atom

a b c (Å): 6.958 3.581 6.409
angles (deg): 90.00 90.00 90.00
Space group Pmma (No. 51)
Symmetry-distinct sites (fractional):
Zr1 0.250 0.000 0.145 (multiplicity 2)
Co1 0.000 0.000 0.500 (multiplicity 2)
Co2 0.039 0.500 0.802 (multiplicity 4)
Co3 0.250 0.500 0.456 (multiplicity 2)
Ge1 0.250 0.000 0.727 (multiplicity 2)

=====

(3)
Here is an optimized crystal structure of Zr3Co3Ge from the Alexandria database. Energies are from PBE.

Crystal system: monoclinic
ΔH_f (0 K): -287 kJ/mol of formula units
Total moment: 0.000 μB per formula unit
Fermi-level density of states: 1.017 states/eV/atom
Volume: 16.25 A^3/atom
Final energy: -7.79 eV/atom

a b c (Å): 9.899 3.502 13.784
angles (deg): 90.00 107.76 90.00
Space group C2/m (No. 12)
Symmetry-distinct sites (fractional):
Zr1 0.001 0.000 0.377 (multiplicity 4)
Zr2 0.111 0.000 0.927 (multiplicity 4)
Zr3 0.235 0.000 0.214 (multiplicity 4)
Co1 0.009 0.500 0.222 (multiplicity 4)
Co2 0.112 0.500 0.073 (multiplicity 4)
Co3 0.145 0.500 0.529 (multiplicity 4)
Ge1 0.220 0.500 0.375 (multiplicity 4)

=====

(4)
Here is an optimized crystal structure of ZrCo4Ge2 from the Alexandria database. Energies are from PBE.

Crystal system: tetragonal
ΔH_f (0 K): -239 kJ/mol of formula units
Total moment: 2.586 μB per formula unit
Fermi-level density of states: 1.250 states/eV/atom
Volume: 13.34 A^3/atom
Final energy: -6.95 eV/atom
Energy above the lowest structure with this stoichiometry: 0 meV per atom

a b c (Å): 7.076 7.076 3.731
angles (deg): 90.00 90.00 90.00
Space group P4_2/mnm (No. 136)
Symmetry-distinct sites (fractional):
Zr1 0.000 0.000 0.000 (multiplicity 2)
Co1 0.087 0.353 0.500 (multiplicity 8)
Ge1 0.218 0.782 0.500 (multiplicity 4)

=====

(5)
Here is an optimized crystal structure of Zr2Co2Ge from the Alexandria database. Energies are from PBE.

Crystal system: tetragonal
ΔH_f (0 K): -201 kJ/mol of formula units
Total moment: 0.000 μB per formula unit
Fermi-level density of states: 0.966 states/eV/atom
Volume: 16.01 A^3/atom
Final energy: -7.60 eV/atom
Energy above the lowest structure with this stoichiometry: 100 meV per atom

a b c (Å): 6.869 6.869 3.393
angles (deg): 90.00 90.00 90.00
Space group P4/mbm (No. 127)
Symmetry-distinct sites (fractional):
Zr1 0.176 0.324 0.000 (multiplicity 4)
Co1 0.128 0.628 0.500 (multiplicity 4)
Ge1 0.000 0.000 0.500 (multiplicity 2)

=====

(6)
Here is an optimized crystal structure of ZrCoGe from the Alexandria database. Energies are from PBE.

Crystal system: orthorhombic
ΔH_f (0 K): -205 kJ/mol of formula units
Total moment: 0.000 μB per formula unit
Fermi-level density of states: 0.894 states/eV/atom
Volume: 15.65 A^3/atom
Final energy: -7.46 eV/atom

a b c (Å): 6.566 3.948 7.244
angles (deg): 90.00 90.00 90.00
Space group Pnma (No. 62)
Symmetry-distinct sites (fractional):
Zr1 0.007 0.250 0.199 (multiplicity 4)
Co1 0.143 0.250 0.570 (multiplicity 4)
Ge1 0.224 0.750 0.396 (multiplicity 4)

=====

Copy entry 5 word for word.
Here is an optimized crystal structure of Zr2Co2Ge from the Alexandria database. Energies are from PBE.

Crystal system: tetragonal
ΔH_f (0 K): -201 kJ/mol of formula units
Total moment: 0.000 μB per formula unit
Fermi-level density of states: 0.966 states/eV/atom
Volume: 16.01 A^3/atom
Final energy: -7.60 eV/atom
Energy above the lowest structure with this stoichiometry: 100 meV per atom

a b c (Å): 6.869 6.869 3.393
angles (deg): 90.00 90.00 90.00
Space group P4/mbm (No. 127)
Symmetry-distinct sites (fractional):
Zr1 0.176 0.324 0.000 (multiplicity 4)
Co1 0.128 0.628 0.500 (multiplicity 4)
Ge1 0.000 0.000 0.500 (multiplicity 2)

=====

Q: Look up the Fermi-level density of states of the sixth one.
A: 0.894 states/eV/atom

=====

Q: What is the formula in the first record?
A: Zr2CoGe

=====

Repeat the fifth record exactly.
Here is an optimized crystal structure of Zr2Co2Ge from the Alexandria database. Energies are from PBE.

Crystal system: tetragonal
ΔH_f (0 K): -201 kJ/mol of formula units
Total moment: 0.000 μB per formula unit
Fermi-level density of states: 0.966 states/eV/atom
Volume: 16.01 A^3/atom
Final energy: -7.60 eV/atom
Energy above the lowest structure with this stoichiometry: 100 meV per atom

a b c (Å): 6.869 6.869 3.393
angles (deg): 90.00 90.00 90.00
Space group P4/mbm (No. 127)
Symmetry-distinct sites (fractional):
Zr1 0.176 0.324 0.000 (multiplicity 4)
Co1 0.128 0.628 0.500 (multiplicity 4)
Ge1 0.000 0.000 0.500 (multiplicity 2)